Record 1
## TiMn2Co3 (PBE)

Data for TiMn2Co3 after structural relaxation.

## Properties
energy of formation	-0.0930	eV/atom
space-group type	No. 65
crystal system	orthorhombic
volume	145.15	Å³ per cell
N(E_F)	12.7	states/eV per cell

```
data_TiMn2Co3
_space_group_name_H-M_alt 'P 1'
_space_group_IT_number 1
_space_group_name_Hall 'P 1'
_cell_length_a 6.478
_cell_length_b 6.478
_cell_length_c 5.754
_cell_angle_alpha 90.00
_cell_angle_beta 90.00
_cell_angle_gamma 143.05
loop_
_atom_site_label
_atom_site_fract_x
_atom_site_fract_y
_atom_site_fract_z
_atom_site_occupancy
Ti1 0.162 0.838 0.000 1
Ti2 0.838 0.162 0.000 1
Mn1 0.167 0.833 0.500 1
Mn2 0.500 0.500 0.000 1
Mn3 0.500 0.500 0.500 1
Mn4 0.833 0.167 0.500 1
Co1 0.000 0.000 0.258 1
Co2 0.000 0.000 0.742 1
Co3 0.335 0.665 0.252 1
Co4 0.335 0.665 0.748 1
Co5 0.665 0.335 0.252 1
Co6 0.665 0.335 0.748 1
```

=====

Record 2
## Ti6Mn5Co (PBE)

Data for Ti6Mn5Co after structural relaxation.

## Properties
energy of formation	-0.2946	eV/atom
space-group type	No. 71
crystal system	orthorhombic
volume	158.51	Å³ per cell
N(E_F)	11.7	states/eV per cell

```
data_Ti6Mn5Co
_space_group_name_H-M_alt 'P 1'
_space_group_IT_number 1
_space_group_name_Hall 'P 1'
_cell_length_a 7.293
_cell_length_b 7.293
_cell_length_c 7.293
_cell_angle_alpha 146.45
_cell_angle_beta 131.74
_cell_angle_gamma 60.05
loop_
_atom_site_label
_atom_site_fract_x
_atom_site_fract_y
_atom_site_fract_z
_atom_site_occupancy
Ti1 0.081 0.333 0.749 1
Ti2 0.248 0.000 0.248 1
Ti3 0.416 0.667 0.749 1
Ti4 0.584 0.333 0.251 1
Ti5 0.752 0.000 0.752 1
Ti6 0.919 0.667 0.251 1
Mn1 0.000 0.500 0.500 1
Mn2 0.166 0.166 0.000 1
Mn3 0.333 0.833 0.500 1
Mn4 0.667 0.167 0.500 1
Mn5 0.834 0.834 0.000 1
Co1 0.500 0.500 0.000 1
```

=====

Record 3
## Ti5Mn4Co (PBE)

Data for Ti5Mn4Co after structural relaxation.

## Properties
energy of formation	-0.3014	eV/atom
space-group type	No. 123
crystal system	tetragonal
volume	132.63	Å³ per cell
N(E_F)	9.6	states/eV per cell

```
data_Ti5Mn4Co
_space_group_name_H-M_alt 'P 1'
_space_group_IT_number 1
_space_group_name_Hall 'P 1'
_cell_length_a 2.983
_cell_length_b 2.983
_cell_length_c 14.904
_cell_angle_alpha 90.00
_cell_angle_beta 90.00
_cell_angle_gamma 90.00
loop_
_atom_site_label
_atom_site_fract_x
_atom_site_fract_y
_atom_site_fract_z
_atom_site_occupancy
Ti1 0.000 0.000 0.000 1
Ti2 0.000 0.000 0.202 1
Ti3 0.000 0.000 0.399 1
Ti4 0.000 0.000 0.601 1
Ti5 0.000 0.000 0.798 1
Mn1 0.500 0.500 0.100 1
Mn2 0.500 0.500 0.302 1
Mn3 0.500 0.500 0.698 1
Mn4 0.500 0.500 0.900 1
Co1 0.500 0.500 0.500 1
```

=====

Record 4
## TiMn2Co5 (PBE)

Data for TiMn2Co5 after structural relaxation.

## Properties
energy of formation	-0.0949	eV/atom
space-group type	No. 139
crystal system	tetragonal
volume	191.05	Å³ per cell
N(E_F)	11.9	states/eV per cell

```
data_TiMn2Co5
_space_group_name_H-M_alt 'P 1'
_space_group_IT_number 1
_space_group_name_Hall 'P 1'
_cell_length_a 4.047
_cell_length_b 4.047
_cell_length_c 11.662
_cell_angle_alpha 90.00
_cell_angle_beta 90.00
_cell_angle_gamma 90.00
loop_
_atom_site_label
_atom_site_fract_x
_atom_site_fract_y
_atom_site_fract_z
_atom_site_occupancy
Ti1 0.000 0.000 0.000 1
Ti2 0.500 0.500 0.500 1
Mn1 0.000 0.000 0.251 1
Mn2 0.000 0.000 0.749 1
Mn3 0.500 0.500 0.249 1
Mn4 0.500 0.500 0.751 1
Co1 0.000 0.000 0.500 1
Co2 0.000 0.500 0.125 1
Co3 0.000 0.500 0.375 1
Co4 0.000 0.500 0.625 1
Co5 0.000 0.500 0.875 1
Co6 0.500 0.000 0.125 1
Co7 0.500 0.000 0.375 1
Co8 0.500 0.000 0.625 1
Co9 0.500 0.000 0.875 1
Co10 0.500 0.500 0.000 1
```

=====

Record 5
## Ti4MnCo5 (PBE)

Data for Ti4MnCo5 after structural relaxation.

## Properties
energy of formation	-0.3274	eV/atom
space-group type	No. 123
crystal system	tetragonal
volume	129.70	Å³ per cell
N(E_F)	8.7	states/eV per cell

```
data_Ti4MnCo5
_space_group_name_H-M_alt 'P 1'
_space_group_IT_number 1
_space_group_name_Hall 'P 1'
_cell_length_a 2.979
_cell_length_b 2.979
_cell_length_c 14.617
_cell_angle_alpha 90.00
_cell_angle_beta 90.00
_cell_angle_gamma 90.00
loop_
_atom_site_label
_atom_site_fract_x
_atom_site_fract_y
_atom_site_fract_z
_atom_site_occupancy
Ti1 0.000 0.000 0.102 1
Ti2 0.000 0.000 0.306 1
Ti3 0.000 0.000 0.694 1
Ti4 0.000 0.000 0.898 1
Mn1 0.000 0.000 0.500 1
Co1 0.500 0.500 0.000 1
Co2 0.500 0.500 0.204 1
Co3 0.500 0.500 0.402 1
Co4 0.500 0.500 0.598 1
Co5 0.500 0.500 0.796 1
```

=====

Record 6
## Ti2MnCo (PBE)

Data for Ti2MnCo after structural relaxation.

## Properties
energy of formation	-0.3780	eV/atom
space-group type	No. 225
crystal system	cubic
volume	208.59	Å³ per cell
relative energy among the computed polymorphs	13	meV/atom
N(E_F)	8.1	states/eV per cell

```
data_Ti2MnCo
_space_group_name_H-M_alt 'P 1'
_space_group_IT_number 1
_space_group_name_Hall 'P 1'
_cell_length_a 5.931
_cell_length_b 5.931
_cell_length_c 5.931
_cell_angle_alpha 90.00
_cell_angle_beta 90.00
_cell_angle_gamma 90.00
loop_
_atom_site_label
_atom_site_fract_x
_atom_site_fract_y
_atom_site_fract_z
_atom_site_occupancy
Ti1 0.250 0.250 0.250 1
Ti2 0.250 0.250 0.750 1
Ti3 0.250 0.750 0.250 1
Ti4 0.250 0.750 0.750 1
Ti5 0.750 0.250 0.250 1
Ti6 0.750 0.250 0.750 1
Ti7 0.750 0.750 0.250 1
Ti8 0.750 0.750 0.750 1
Mn1 0.000 0.000 0.000 1
Mn2 0.000 0.500 0.500 1
Mn3 0.500 0.000 0.500 1
Mn4 0.500 0.500 0.000 1
Co1 0.000 0.000 0.500 1
Co2 0.000 0.500 0.000 1
Co3 0.500 0.000 0.000 1
Co4 0.500 0.500 0.500 1
```

=====

Record 7
## Ti2Mn2Co (PBE)

Data for Ti2Mn2Co after structural relaxation.

## Properties
energy of formation	-0.0224	eV/atom
space-group type	No. 127
crystal system	tetragonal
volume	135.90	Å³ per cell
relative energy among the computed polymorphs	8	meV/atom
N(E_F)	10.2	states/eV per cell

```
data_Ti2Mn2Co
_space_group_name_H-M_alt 'P 1'
_space_group_IT_number 1
_space_group_name_Hall 'P 1'
_cell_length_a 5.949
_cell_length_b 5.949
_cell_length_c 3.840
_cell_angle_alpha 90.00
_cell_angle_beta 90.00
_cell_angle_gamma 90.00
loop_
_atom_site_label
_atom_site_fract_x
_atom_site_fract_y
_atom_site_fract_z
_atom_site_occupancy
Ti1 0.180 0.320 0.000 1
Ti2 0.320 0.820 0.000 1
Ti3 0.680 0.180 0.000 1
Ti4 0.820 0.680 0.000 1
Mn1 0.128 0.628 0.500 1
Mn2 0.372 0.128 0.500 1
Mn3 0.628 0.872 0.500 1
Mn4 0.872 0.372 0.500 1
Co1 0.000 0.000 0.500 1
Co2 0.500 0.500 0.500 1
```

=====

Record 8
## Ti2MnCo2 (PBE)

Data for Ti2MnCo2 after structural relaxation.

## Properties
energy of formation	-0.1164	eV/atom
space-group type	No. 65
crystal system	orthorhombic
volume	134.32	Å³ per cell
relative energy among the computed polymorphs	0	meV/atom
N(E_F)	10.0	states/eV per cell

```
data_Ti2MnCo2
_space_group_name_H-M_alt 'P 1'
_space_group_IT_number 1
_space_group_name_Hall 'P 1'
_cell_length_a 3.871
_cell_length_b 12.310
_cell_length_c 2.819
_cell_angle_alpha 90.00
_cell_angle_beta 90.00
_cell_angle_gamma 90.00
loop_
_atom_site_label
_atom_site_fract_x
_atom_site_fract_y
_atom_site_fract_z
_atom_site_occupancy
Ti1 0.000 0.125 0.000 1
Ti2 0.000 0.875 0.000 1
Ti3 0.500 0.375 0.000 1
Ti4 0.500 0.625 0.000 1
Mn1 0.000 0.500 0.500 1
Mn2 0.500 0.000 0.500 1
Co1 0.000 0.309 0.500 1
Co2 0.000 0.691 0.500 1
Co3 0.500 0.191 0.500 1
Co4 0.500 0.809 0.500 1
```

=====

Record 9
## Ti6MnCo (PBE)

Data for Ti6MnCo after structural relaxation.

## Properties
energy of formation	-0.1489	eV/atom
space-group type	No. 139
crystal system	tetragonal
volume	241.00	Å³ per cell
relative energy among the computed polymorphs	0	meV/atom
N(E_F)	21.3	states/eV per cell

```
data_Ti6MnCo
_space_group_name_H-M_alt 'P 1'
_space_group_IT_number 1
_space_group_name_Hall 'P 1'
_cell_length_a 4.228
_cell_length_b 4.228
_cell_length_c 13.480
_cell_angle_alpha 90.00
_cell_angle_beta 90.00
_cell_angle_gamma 90.00
loop_
_atom_site_label
_atom_site_fract_x
_atom_site_fract_y
_atom_site_fract_z
_atom_site_occupancy
Ti1 0.000 0.000 0.247 1
Ti2 0.000 0.000 0.753 1
Ti3 0.000 0.500 0.109 1
Ti4 0.000 0.500 0.391 1
Ti5 0.000 0.500 0.609 1
Ti6 0.000 0.500 0.891 1
Ti7 0.500 0.000 0.109 1
Ti8 0.500 0.000 0.391 1
Ti9 0.500 0.000 0.609 1
Ti10 0.500 0.000 0.891 1
Ti11 0.500 0.500 0.253 1
Ti12 0.500 0.500 0.747 1
Mn1 0.000 0.000 0.000 1
Mn2 0.500 0.500 0.500 1
Co1 0.000 0.000 0.500 1
Co2 0.500 0.500 0.000 1
```

=====

Record 10
## TiMnCo (PBE)

Data for TiMnCo after structural relaxation.

## Properties
energy of formation	0.5332	eV/atom
space-group type	No. 107
crystal system	tetragonal
volume	81.51	Å³ per cell
relative energy among the computed polymorphs	812	meV/atom
N(E_F)	7.9	states/eV per cell

```
data_TiMnCo
_space_group_name_H-M_alt 'P 1'
_space_group_IT_number 1
_space_group_name_Hall 'P 1'
_cell_length_a 2.560
_cell_length_b 2.560
_cell_length_c 12.438
_cell_angle_alpha 90.00
_cell_angle_beta 90.00
_cell_angle_gamma 90.00
loop_
_atom_site_label
_atom_site_fract_x
_atom_site_fract_y
_atom_site_fract_z
_atom_site_occupancy
Ti1 0.000 0.000 0.000 1
Ti2 0.500 0.500 0.500 1
Mn1 0.000 0.000 0.810 1
Mn2 0.500 0.500 0.310 1
Co1 0.000 0.000 0.191 1
Co2 0.500 0.500 0.691 1
```

=====

Record 11
## Ti2MnCo (PBE)

Data for Ti2MnCo after structural relaxation.

## Properties
energy of formation	0.1716	eV/atom
space-group type	No. 122
crystal system	tetragonal
volume	228.64	Å³ per cell
relative energy among the computed polymorphs	563	meV/atom
N(E_F)	18.6	states/eV per cell

```
data_Ti2MnCo
_space_group_name_H-M_alt 'P 1'
_space_group_IT_number 1
_space_group_name_Hall 'P 1'
_cell_length_a 6.571
_cell_length_b 6.571
_cell_length_c 5.296
_cell_angle_alpha 90.00
_cell_angle_beta 90.00
_cell_angle_gamma 90.00
loop_
_atom_site_label
_atom_site_fract_x
_atom_site_fract_y
_atom_site_fract_z
_atom_site_occupancy
Ti1 0.235 0.250 0.125 1
Ti2 0.250 0.735 0.375 1
Ti3 0.250 0.765 0.875 1
Ti4 0.265 0.250 0.625 1
Ti5 0.735 0.750 0.625 1
Ti6 0.750 0.235 0.875 1
Ti7 0.750 0.265 0.375 1
Ti8 0.765 0.750 0.125 1
Mn1 0.000 0.000 0.500 1
Mn2 0.000 0.500 0.750 1
Mn3 0.500 0.000 0.250 1
Mn4 0.500 0.500 0.000 1
Co1 0.000 0.000 0.000 1
Co2 0.000 0.500 0.250 1
Co3 0.500 0.000 0.750 1
Co4 0.500 0.500 0.500 1
```

=====

Record 12
## TiMnCo5 (PBE)

Data for TiMnCo5 after structural relaxation.

## Properties
energy of formation	0.1397	eV/atom
space-group type	No. 123
crystal system	tetragonal
volume	86.67	Å³ per cell
N(E_F)	7.4	states/eV per cell

```
data_TiMnCo5
_space_group_name_H-M_alt 'P 1'
_space_group_IT_number 1
_space_group_name_Hall 'P 1'
_cell_length_a 4.053
_cell_length_b 4.053
_cell_length_c 5.277
_cell_angle_alpha 90.00
_cell_angle_beta 90.00
_cell_angle_gamma 90.00
loop_
_atom_site_label
_atom_site_fract_x
_atom_site_fract_y
_atom_site_fract_z
_atom_site_occupancy
Ti1 0.000 0.000 0.000 1
Mn1 0.500 0.500 0.500 1
Co1 0.000 0.500 0.266 1
Co2 0.000 0.500 0.734 1
Co3 0.500 0.000 0.266 1
Co4 0.500 0.000 0.734 1
Co5 0.500 0.500 0.000 1
```

=====

Please write out number 3 again, unchanged.
## Ti5Mn4Co (PBE)

Data for Ti5Mn4Co after structural relaxation.

## Properties
energy of formation	-0.3014	eV/atom
space-group type	No. 123
crystal system	tetragonal
volume	132.63	Å³ per cell
N(E_F)	9.6	states/eV per cell

```
data_Ti5Mn4Co
_space_group_name_H-M_alt 'P 1'
_space_group_IT_number 1
_space_group_name_Hall 'P 1'
_cell_length_a 2.983
_cell_length_b 2.983
_cell_length_c 14.904
_cell_angle_alpha 90.00
_cell_angle_beta 90.00
_cell_angle_gamma 90.00
loop_
_atom_site_label
_atom_site_fract_x
_atom_site_fract_y
_atom_site_fract_z
_atom_site_occupancy
Ti1 0.000 0.000 0.000 1
Ti2 0.000 0.000 0.202 1
Ti3 0.000 0.000 0.399 1
Ti4 0.000 0.000 0.601 1
Ti5 0.000 0.000 0.798 1
Mn1 0.500 0.500 0.100 1
Mn2 0.500 0.500 0.302 1
Mn3 0.500 0.500 0.698 1
Mn4 0.500 0.500 0.900 1
Co1 0.500 0.500 0.500 1
```

=====

Which value of N(E_F) does entry 7 give?
10.2 states/eV per cell